10
Lattice="4.576 -2.877 -1.701 -0.367 -5.562 -1.020 0.318 -1.932 -5.318" Properties=species:S:1:pos:R:3 comment="EuMgSnWO6 PBE+U relaxed" e_tot_ev_per_atom=-7.48 pbc="T T T"
Eu 1.132 -2.593 -2.010
Mg 0.000 0.000 0.000
Sn 3.395 -7.779 -6.029
W 2.263 -5.186 -4.020
O 0.983 -5.369 -2.560
O 3.544 -5.002 -5.479
O 1.137 -6.309 -5.148
O 3.389 -4.062 -2.891
O 1.316 -3.602 -4.652
O 3.210 -6.769 -3.388